Computed, not measured: crystalline Ba3SnGe2O8 at its relaxed geometry at the GGA-PBE level of DFT.

Summary:
Magnetic moment ... 0.00 Bohr magnetons per cell
E_tot ... -88.6 eV/f.u.
Uncorrected formation energy ... -2.138 eV per atom

Cell: 6.0465 6.0465 7.7249 Å, 90.00 90.00 120.00°
Closest atoms and distances in Å follow each position.
Space group P-3m1 (No. 164)
One atom of each set of equivalent atoms:
Ba: 0.0000 0.0000 0.0000  6 O 2.94
Ba: 0.3333 0.6667 0.6636  1 O 2.45
Sn: 0.0000 0.0000 0.5000  6 O 2.42
Ge: 0.3333 0.6667 0.2055  4 O 1.74-1.80
O: 0.1753 0.3505 0.2968  1 Ge 1.80
O: 0.3333 0.6667 0.9802  1 Ge 1.74